The following is a DFT calculation (PBEsol) of crystalline RhAuSe2 at its relaxed geometry.

Lattice parameters (Å, degrees): 3.8910 3.8910 5.2159 111.90 111.90 90.00
With the nearest neighbours (Å) after each atom.
Sites, in units of the cell vectors:
Se1 0.7500 0.2500 0.5000  4 Rh 2.75, 4 Se 2.95, 4 Au 2.95
Rh1 0.2500 0.7500 0.5000  8 Se 2.75-2.95, 4 Au 2.95
Se2 0.0000 0.0000 0.0000  4 Au 2.75, 4 Se 2.95, 4 Rh 2.95
Au1 0.5000 0.5000 0.0000  8 Se 2.75-2.95, 4 Rh 2.95

Results
Its spin magnetization is 0.000 μB/atom. As for the uncorrected formation energy: 307 meV per atom. The value obtained for the density is 11.33 g/cm3. The value obtained for the uncorrected energy is -4.63 eV per atom. The calculation puts the density of states at the Fermi level at 1.85 states/eV per cell.